# 1
First-principles (GGA-PBE) data for Mn2OsPb after structural relaxation, as listed in Alexandria via LeMat-Bulk. Values from VASP.

Quantum ESPRESSO input file:
```
&SYSTEM
  ibrav = 0, nat = 4, ntyp = 3
/
ATOMIC_SPECIES
Mn 54.94 Mn.upf
Os 190.23 Os.upf
Pb 207.20 Pb.upf
ATOMIC_POSITIONS crystal
Mn 0.000 0.000 0.000
Mn 0.750 0.250 0.500
Os 0.250 0.750 0.500
Pb 0.500 0.500 0.000
CELL_PARAMETERS angstrom
-2.067 2.067 3.827
2.067 -2.067 3.827
2.067 2.067 -3.827
```

For the density of states at the Fermi level, the calculation gives 4.01 states/eV per cell. The value obtained for the final energy is -7.74 eV per atom.

# 2
First-principles (GGA-PBE) data for MnOs2Pb after structural relaxation, as listed in Alexandria via LeMat-Bulk. Values from VASP.

Quantum ESPRESSO input file:
```
&SYSTEM
  ibrav = 0, nat = 4, ntyp = 3
/
ATOMIC_SPECIES
Mn 54.94 Mn.upf
Os 190.23 Os.upf
Pb 207.20 Pb.upf
ATOMIC_POSITIONS crystal
Mn 0.000 0.000 0.000
Os 0.000 0.500 0.500
Os 0.500 0.500 0.000
Pb 0.500 0.000 0.500
CELL_PARAMETERS angstrom
3.002 0.000 0.000
0.000 4.639 0.000
0.000 0.000 4.725
```

For the density of states at the Fermi level, the calculation gives 5.02 states/eV per cell. The value obtained for the final energy is -7.95 eV per atom.

# 3
First-principles (GGA-PBE) data for MnOs2Pb after structural relaxation, as listed in Alexandria via LeMat-Bulk. Values from VASP.

Quantum ESPRESSO input file:
```
&SYSTEM
  ibrav = 0, nat = 8, ntyp = 3
/
ATOMIC_SPECIES
Mn 54.94 Mn.upf
Os 190.23 Os.upf
Pb 207.20 Pb.upf
ATOMIC_POSITIONS crystal
Mn 0.000 0.000 0.000
Mn 0.750 0.250 0.500
Os 0.063 0.625 0.938
Os 0.375 0.313 0.438
Os 0.687 0.125 0.062
Os 0.875 0.937 0.562
Pb 0.250 0.750 0.500
Pb 0.500 0.500 0.000
CELL_PARAMETERS angstrom
-3.664 3.664 2.602
3.664 -3.664 2.602
3.664 3.664 -2.602
```

For the density of states at the Fermi level, the calculation gives 8.47 states/eV per cell. The value obtained for the final energy is -7.79 eV per atom.

no.,DFT formation energy (eV per atom)
1,0.582
2,0.889
3,1.042